K5Tc, relaxed, DFT GGA-PBEsol; ρ = 1.66 Mg/m³; calculated total energy = -1.90 eV per atom; formation energy = 0.92 eV/atom; E above lowest polymorph = 0.944 kcal/mol of atoms
1.0
3.808 0.000 0.000
0.000 6.522 0.000
-1.904 0.000 11.794
K Tc
5 1
direct
0.344 0.000 0.688
0.471 0.500 0.942
0.023 0.000 0.046
0.736 0.500 0.471
0.658 0.000 0.315
0.102 0.500 0.205

***

K2TcTe, relaxed, DFT GGA-PBEsol; formation energy from raw total energies = 2.62 eV/f.u.; ρ = 5.06 Mg/m³; calculated total energy = -3.61 eV per atom
1.0
-1.327 -4.045 0.367
1.667 -0.895 -3.841
4.725 -1.335 2.362
K Te Tc
2 1 1
direct
0.000 0.000 0.000
0.500 0.500 0.000
0.000 0.500 0.500
0.500 0.000 0.500

***

KTcTe2, relaxed, DFT GGA-PBEsol; formation energy from raw total energies = 0.17 eV/f.u.; ρ = 6.36 Mg/m³; calculated total energy = -4.82 eV per atom
1.0
3.163 0.000 -0.044
0.000 4.104 0.000
-0.811 0.000 7.905
K Te Tc
1 2 1
direct
0.500 0.500 0.000
0.102 0.000 0.297
0.898 0.000 0.703
0.000 0.500 0.500